First-principles (PBE) data for a relaxed ErTm2InAu4 crystal, as listed in Alexandria via LeMat-Bulk.

Output
Total DFT energy (no corrections) in eV per atom: -4.47
Crystal system: trigonal
Calculated formation energy in meV per atom: -805

The structure in POSCAR format:
```
ErTm2InAu4
1.0
-2.1446 1.8823 -4.0612
-2.0018 -3.0323 -3.3814
-8.5964 -0.0442 1.4860
Tm Au Er In
2 4 1 1
Direct
0.7566 0.7566 0.7303
0.2434 0.2434 0.2697
0.3662 0.3662 0.9015
0.1192 0.1192 0.6423
0.6338 0.6338 0.0985
0.8808 0.8808 0.3577
0.0000 0.0000 0.0000
0.5000 0.5000 0.5000
```



First-principles (PBE) data for a relaxed YW4 crystal, as listed in Alexandria via LeMat-Bulk.

Output
Total DFT energy (no corrections) in eV per atom: -11.16
Crystal system: tetragonal
Calculated formation energy in meV per atom: 494

The structure in POSCAR format:
```
YW4
1.0
5.7261 1.5700 1.9845
0.8261 3.1886 5.3237
-3.0900 -5.0236 -2.0992
W Y
4 1
Direct
0.6198 0.6198 0.0000
0.7500 0.2500 0.5000
0.3802 0.3802 0.0000
0.2500 0.7500 0.5000
0.0000 0.0000 0.0000
```



First-principles (PBE) data for a relaxed PuTlCd crystal, as listed in Alexandria via LeMat-Bulk.

Output
Total DFT energy (no corrections) in eV per atom: -5.87
Crystal system: tetragonal
Calculated formation energy in meV per atom: 0

The structure in POSCAR format:
```
PuTlCd
1.0
-2.6696 0.3490 1.9488
1.9002 -0.4671 2.6865
1.5618 6.9866 -1.9457
Pu Tl Cd
1 1 1
Direct
0.9478 0.9478 0.8956
0.6207 0.6207 0.2415
0.2815 0.2815 0.5630
```